(1)
Ta2CrCo after structural relaxation. Source: Alexandria via LeMat-Bulk, functional GGA-PBE.

Energy of formation   -0.118 eV per atom
Calculated volume   58.2 Å³ per cell
E   -10.2271 eV per atom
Total magnetic moment   0.001 μB/atom

abc: 3.100 3.100 6.056
angles: 90.00 90.00 90.00
Space group P4/mmm (No. 123)
Asymmetric unit:
Ta: 0.000 0.000 0.248 x2
Cr: 0.500 0.500 0.000 x1
Co: 0.500 0.500 0.500 x1

***

(2)
TaCrCo after structural relaxation. Source: Alexandria via LeMat-Bulk, functional GGA-PBE.

Energy of formation   -0.188 eV per atom
Calculated volume   317.7 Å³ per cell
E   -9.7155 eV per atom
Total magnetic moment   0.000 μB/atom

abc: 7.993 4.821 8.245
angles: 90.00 90.00 90.00
Space group Amm2 (No. 38)
Asymmetric unit:
Ta: 0.184 0.000 0.000 x4
Ta: 0.311 0.000 0.668 x4
Cr: 0.000 0.000 0.495 x2
Cr: 0.500 0.000 0.160 x2
Cr: 0.500 0.245 0.918 x4
Co: 0.000 0.246 0.737 x4
Co: 0.244 0.000 0.330 x4

***

(3)
Ta2CrCo after structural relaxation. Source: Alexandria via LeMat-Bulk, functional GGA-PBE.

Energy of formation   0.103 eV per atom
Calculated volume   118.5 Å³ per cell
E   -10.0059 eV per atom
Total magnetic moment   0.242 μB/atom

abc: 5.589 8.111 2.764
angles: 90.00 108.87 90.00
Space group C2/m (No. 12)
Asymmetric unit:
Ta: 0.250 0.250 0.000 x4
Cr: 0.000 0.000 0.500 x2
Co: 0.000 0.500 0.500 x2

***

(4)
Ta2CrCo after structural relaxation. Source: Alexandria via LeMat-Bulk, functional GGA-PBE.

Energy of formation   0.067 eV per atom
Calculated volume   118.0 Å³ per cell
E   -10.0412 eV per atom
Total magnetic moment   0.001 μB/atom

abc: 3.303 4.502 7.939
angles: 90.00 90.00 90.00
Space group Cmmm (No. 65)
Asymmetric unit:
Ta: 0.000 0.000 0.244 x4
Cr: 0.000 0.500 0.500 x2
Co: 0.000 0.500 0.000 x2

***

(5)
TaCr4Co after structural relaxation. Source: Alexandria via LeMat-Bulk, functional GGA-PBE.

Energy of formation   0.142 eV per atom
Calculated volume   307.2 Å³ per cell
E   -9.4335 eV per atom
Total magnetic moment   0.000 μB/atom

abc: 6.748 6.748 6.748
angles: 90.00 90.00 90.00
Space group F-43m (No. 216)
Asymmetric unit:
Ta: 0.000 0.000 0.000 x4
Cr: 0.126 0.126 0.374 x16
Co: 0.250 0.250 0.750 x4

***

(6)
TaCr2Co2 after structural relaxation. Source: Alexandria via LeMat-Bulk, functional GGA-PBE.

Energy of formation   0.138 eV per atom
Calculated volume   124.7 Å³ per cell
E   -8.9240 eV per atom
Total magnetic moment   0.000 μB/atom

abc: 6.968 6.968 2.568
angles: 90.00 90.00 90.00
Space group P4/mbm (No. 127)
Asymmetric unit:
Ta: 0.000 0.000 0.000 x2
Cr: 0.118 0.382 0.000 x4
Co: 0.176 0.676 0.500 x4

***

(7)
Ta2CrCo after structural relaxation. Source: Alexandria via LeMat-Bulk, functional GGA-PBE.

Energy of formation   0.119 eV per atom
Calculated volume   118.8 Å³ per cell
E   -9.9897 eV per atom
Total magnetic moment   0.105 μB/atom

abc: 3.671 3.671 8.814
angles: 90.00 90.00 90.00
Space group I-4m2 (No. 119)
Asymmetric unit:
Ta: 0.000 0.000 0.000 x2
Ta: 0.000 0.500 0.250 x2
Cr: 0.000 0.000 0.500 x2
Co: 0.000 0.500 0.750 x2

***

(8)
TaCrCo after structural relaxation. Source: Alexandria via LeMat-Bulk, functional GGA-PBE.

Energy of formation   0.436 eV per atom
Calculated volume   189.6 Å³ per cell
E   -9.0917 eV per atom
Total magnetic moment   0.912 μB/atom

abc: 5.745 5.745 5.745
angles: 90.00 90.00 90.00
Space group F-43m (No. 216)
Asymmetric unit:
Ta: 0.000 0.000 0.000 x4
Cr: 0.000 0.000 0.500 x4
Co: 0.250 0.250 0.250 x4

***

(9)
Ta2CrCo after structural relaxation. Source: Alexandria via LeMat-Bulk, functional GGA-PBE.

Energy of formation   0.109 eV per atom
Calculated volume   118.0 Å³ per cell
E   -9.9992 eV per atom
Total magnetic moment   0.079 μB/atom

abc: 3.552 4.195 7.916
angles: 90.00 90.00 90.00
Space group Cmm2 (No. 35)
Asymmetric unit:
Ta: 0.000 0.000 0.000 x2
Ta: 0.000 0.500 0.301 x2
Cr: 0.000 0.500 0.733 x2
Co: 0.000 0.000 0.552 x2

***

(10)
TaCrCo after structural relaxation. Source: Alexandria via LeMat-Bulk, functional GGA-PBE.

Energy of formation   0.173 eV per atom
Calculated volume   41.9 Å³ per cell
E   -9.3545 eV per atom
Total magnetic moment   1.036 μB/atom

abc: 4.2188 4.2188 2.7198
angles: 90.00 90.00 120.00
Space group P3m1 (No. 156)
Asymmetric unit:
Ta: 0.0000 0.0000 0.0000 x1
Cr: 0.3333 0.6667 0.6530 x1
Co: 0.6667 0.3333 0.3231 x1

***

(11)
Ta2CrCo after structural relaxation. Source: Alexandria via LeMat-Bulk, functional GGA-PBE.

Energy of formation   0.353 eV per atom
Calculated volume   180.8 Å³ per cell
E   -9.7560 eV per atom
Total magnetic moment   0.089 μB/atom

abc: 2.7771 2.7771 27.0726
angles: 90.00 90.00 120.00
Space group R3m (No. 160, hexagonal axes)
Asymmetric unit:
Ta: 0.0000 0.0000 0.0000 x3
Ta: 0.0000 0.0000 0.2355 x3
Cr: 0.0000 0.0000 0.4818 x3
Co: 0.0000 0.0000 0.7489 x3

***

(12)
Ta2CrCo after structural relaxation. Source: Alexandria via LeMat-Bulk, functional GGA-PBE.

Energy of formation   0.051 eV per atom
Calculated volume   59.9 Å³ per cell
E   -10.0577 eV per atom
Total magnetic moment   0.596 μB/atom

abc: 3.133 3.133 6.104
angles: 90.00 90.00 90.00
Space group P4mm (No. 99)
Asymmetric unit:
Ta: 0.000 0.000 0.000 x1
Ta: 0.500 0.500 0.297 x1
Cr: 0.500 0.500 0.764 x1
Co: 0.000 0.000 0.529 x1